The following is a DFT calculation (meta-GGA SCAN) of a crystal of SrTi2N relaxed with PBEsol.

```
8
Lattice="-0.8357 2.1801 5.8812 -5.4495 -1.0789 3.0295 -0.1656 -4.0310 4.8747" Properties=species:S:1:pos:R:3 pbc="T T T"
Sr 0.0000 0.0000 0.0000
Sr -1.6127 -0.7324 3.4464
N -3.2254 -1.4649 6.8927
N -4.8381 -2.1973 10.3391
Ti -1.3070 -1.2917 7.1011
Ti -3.6139 -2.9212 5.6753
Ti -3.9490 0.1844 6.1785
Ti -4.0318 -1.8311 8.6159
```

## Properties
The calculation puts the total moment at 4.4 μB/cell. For the uncorrected formation energy, the calculation gives -0.5147 eV/atom.

=====

The following is a DFT calculation (meta-GGA SCAN) of a crystal of SrTlN2 relaxed with PBEsol.

```
4
Lattice="3.6791 0.0000 0.0000 1.8395 3.1862 0.0000 1.8395 1.0621 6.8103" Properties=species:S:1:pos:R:3 pbc="T T T"
Sr 0.0000 0.0000 0.0000
Tl 3.6791 2.1241 3.4051
N 5.5186 3.1862 2.3481
N 1.8395 1.0621 4.4622
```

## Properties
The calculation puts the total moment at 1.3 μB/cell. For the uncorrected formation energy, the calculation gives 1.1161 eV/atom.

=====

- Which formula does entry 1 have?
  SrTi2N